CrIr3Ru | GGA-PBE | optimized geometry

Cell and atoms, written as extended XYZ:
```
10
Lattice="7.5412 0.0000 0.0000 0.0000 2.6796 0.0000 0.0000 0.0000 8.0457" Properties=species:S:1:pos:R:3 pbc="T T T"
Cr 1.8853 0.0000 1.6710
Cr 5.6559 0.0000 6.3747
Ir 0.0000 0.0000 0.0000
Ir 0.1309 0.0000 5.2615
Ir 3.6397 0.0000 5.2615
Ir 3.7706 0.0000 0.0000
Ir 3.9015 0.0000 2.7842
Ir 7.4102 0.0000 2.7842
Ru 1.8853 1.3398 6.7266
Ru 5.6559 1.3398 1.3192
```

**Symmetry**: Pmma (51)
**Formation energy from the elements**: 0.5134 eV/atom
**Magnetic moment**: 0.01 μB per cell